[1]
LiNdSm2Tl4: optimized geometry, PBE.

Geometry as CIF:
```
data_LiNdSm2Tl4
_chemical_formula_sum 'Li3 Nd3 Sm6 Tl12'
_symmetry_space_group_name_H-M 'R -3 m'
_symmetry_Int_Tables_number 166
_symmetry_space_group_name_Hall '-R 3 2"'
_cell_length_a 5.3246
_cell_length_b 5.3246
_cell_length_c 27.1302
_cell_angle_alpha 90.00
_cell_angle_beta 90.00
_cell_angle_gamma 120.00
loop_
_atom_site_label
_atom_site_fract_x
_atom_site_fract_y
_atom_site_fract_z
Li1 0.0000 0.0000 0.0000
Nd1 0.0000 0.0000 0.5000
Sm1 0.0000 0.0000 0.2559
Tl1 0.0000 0.0000 0.1227
Tl2 0.0000 0.0000 0.3729
```

Values from the calculation:
magnetic moment = 0.000 μB per formula unit
theoretical density = 9.5 g/cm3
formation energy from the elements = -8.05 kcal/mol of atoms


[2]
LiNdSmTm: optimized geometry, PBE.

Geometry as CIF:
```
data_LiNdSmTm
_chemical_formula_sum 'Li4 Nd4 Sm4 Tm4'
_symmetry_space_group_name_H-M 'F -4 3 m'
_symmetry_Int_Tables_number 216
_symmetry_space_group_name_Hall 'F -4 2 3'
_cell_length_a 7.841
_cell_length_b 7.841
_cell_length_c 7.841
_cell_angle_alpha 90.00
_cell_angle_beta 90.00
_cell_angle_gamma 90.00
loop_
_atom_site_label
_atom_site_fract_x
_atom_site_fract_y
_atom_site_fract_z
Li1 0.000 0.000 0.000
Nd1 0.250 0.250 0.250
Sm1 0.250 0.250 0.750
Tm1 0.000 0.000 0.500
```

Values from the calculation:
magnetic moment = 0.000 μB per formula unit
theoretical density = 6.5 g/cm3
formation energy from the elements = 3.48 kcal/mol of atoms


[3]
LiNd2Sn3: optimized geometry, PBE.

Geometry as CIF:
```
data_LiNd2Sn3
_chemical_formula_sum 'Li2 Nd4 Sn6'
_symmetry_space_group_name_H-M 'C 1 m 1'
_symmetry_Int_Tables_number 8
_symmetry_space_group_name_Hall 'C -2y'
_cell_length_a 11.493
_cell_length_b 4.692
_cell_length_c 7.525
_cell_angle_alpha 90.00
_cell_angle_beta 128.74
_cell_angle_gamma 90.00
loop_
_atom_site_label
_atom_site_fract_x
_atom_site_fract_y
_atom_site_fract_z
Li1 0.000 0.000 0.000
Nd1 0.117 0.500 0.781
Nd2 0.223 0.500 0.400
Sn1 0.018 0.000 0.404
Sn2 0.302 0.000 0.181
Sn3 0.353 0.000 0.817
```

Values from the calculation:
magnetic moment = 0.000 μB per formula unit
energy relative to the lowest polymorph listed for this composition = 0.0 kJ per mole of atoms
theoretical density = 6.8 g/cm3
formation energy from the elements = -14.09 kcal/mol of atoms